An optimized crystal structure of TlAg2MoCl8, computed with PBE.

Calculated values
volume	30.35	Å³ per atom
calculated density	3.646	g/cm³
uncorrected energy	-42.182	eV per cell
space group	P-1
total magnetization	1.0	μB/f.u.

a = 6.312 Å, b = 7.098 Å, c = 8.816 Å
α = 69.40°, β = 89.70°, γ = 80.64°
Atoms (fractional coordinates):
Tl1 0.000 0.000 0.000
Ag1 0.479 0.337 0.191
Ag2 0.521 0.663 0.809
Mo1 0.000 0.000 0.500
Cl1 0.084 0.234 0.246
Cl2 0.131 0.191 0.635
Cl3 0.345 0.800 0.524
Cl4 0.450 0.730 0.072
Cl5 0.550 0.270 0.928
Cl6 0.655 0.200 0.476
Cl7 0.869 0.809 0.365
Cl8 0.916 0.766 0.754


An optimized crystal structure of TbTiSn2, computed with PBE.

Calculated values
offset from the most stable computed form	0.000	eV per atom
formation enthalpy at 0 K	-0.380	eV per atom
volume	24.55	Å³ per atom
calculated density	7.511	g/cm³
uncorrected energy	-22.049	eV per cell
space group	R-3m
total magnetization	0.0	μB/f.u.

a = 5.950 Å, b = 5.950 Å, c = 5.950 Å
α = 45.67°, β = 45.67°, γ = 45.67°
Atoms (fractional coordinates):
Tb1 0.000 0.000 0.000
Ti1 0.500 0.500 0.500
Sn1 0.234 0.234 0.234
Sn2 0.766 0.766 0.766